# As2AuSBr | the Alexandria database | GGA-PBE | relaxed
data_As2AuSBr
_chemical_formula_sum 'As2 Au1 S1 Br1'
_symmetry_space_group_name_H-M 'P 4/m m m'
_symmetry_Int_Tables_number 123
_symmetry_space_group_name_Hall '-P 4 2'
_cell_length_a 4.8629
_cell_length_b 4.8629
_cell_length_c 5.0813
_cell_angle_alpha 90.00
_cell_angle_beta 90.00
_cell_angle_gamma 90.00
loop_
_atom_site_label
_atom_site_type_symbol
_atom_site_fract_x
_atom_site_fract_y
_atom_site_fract_z
As1 As 0.0000 0.5000 0.0000
Au1 Au 0.0000 0.0000 0.5000
S1 S 0.5000 0.5000 0.0000
Br1 Br 0.5000 0.5000 0.5000
# M_tot: 0.75 μB/f.u.
# raw formation energy: 4.4 eV/f.u.
# calculated volume: 24.03 A^3/atom
# total DFT energy (no corrections): -2.80 eV/atom